# 1
{"formula": "In8Hg2Pb", "functional": "PBE", "state": "relaxed", "lattice": [[4.281, -7.281, 0.000], [4.281, 7.281, 0.000], [-2.235, 0.000, 5.023]], "species": ["In", "In", "In", "In", "In", "In", "In", "In", "Hg", "Hg", "Pb"], "fractional_positions": [[0.087, 0.318, 0.626], [0.226, 0.774, 0.000], [0.318, 0.087, 0.626], [0.402, 0.402, 0.183], [0.598, 0.598, 0.817], [0.682, 0.913, 0.374], [0.774, 0.226, 0.000], [0.913, 0.682, 0.374], [0.314, 0.686, 0.500], [0.686, 0.314, 0.500], [0.000, 0.000, 0.000]], "relative_energy_ev_per_fu": 0.10}

# 2
{"formula": "In7Hg2Pb2", "functional": "PBE", "state": "relaxed", "lattice": [[3.619, -4.475, 0.000], [3.619, 4.475, 0.000], [-0.777, 0.000, 9.491]], "species": ["In", "In", "In", "In", "In", "In", "In", "Hg", "Hg", "Pb", "Pb"], "fractional_positions": [[0.000, 0.000, 0.000], [0.187, 0.565, 0.139], [0.269, 0.269, 0.732], [0.435, 0.813, 0.861], [0.565, 0.187, 0.139], [0.731, 0.731, 0.268], [0.813, 0.435, 0.861], [0.154, 0.154, 0.352], [0.846, 0.846, 0.648], [0.295, 0.705, 0.500], [0.705, 0.295, 0.500]]}

# 3
{"formula": "In6HgPb4", "functional": "PBE", "state": "relaxed", "lattice": [[2.719, -4.714, 0.000], [2.719, 4.714, 0.000], [0.000, 0.000, 25.245]], "species": ["In", "In", "In", "In", "In", "In", "In", "In", "In", "In", "In", "In", "Hg", "Hg", "Pb", "Pb", "Pb", "Pb", "Pb", "Pb", "Pb", "Pb"], "fractional_positions": [[0.000, 0.000, 0.000], [0.000, 0.000, 0.500], [0.006, 0.994, 0.750], [0.329, 0.671, 0.102], [0.329, 0.671, 0.398], [0.339, 0.661, 0.682], [0.339, 0.661, 0.818], [0.661, 0.339, 0.182], [0.661, 0.339, 0.318], [0.671, 0.329, 0.602], [0.671, 0.329, 0.898], [0.994, 0.006, 0.250], [0.327, 0.673, 0.250], [0.673, 0.327, 0.750], [0.004, 0.996, 0.628], [0.004, 0.996, 0.872], [0.335, 0.665, 0.541], [0.335, 0.665, 0.959], [0.665, 0.335, 0.041], [0.665, 0.335, 0.459], [0.996, 0.004, 0.128], [0.996, 0.004, 0.372]]}

Going through the records in order, we get total energy values of -0.0855 -0.0896 -0.1039 hartree per atom.